(1)
The following is a GGA-PBE calculation of a geometry-optimized AcHoFe structure, from Alexandria.

Lattice parameters (Å, degrees): 7.111 12.903 7.475 90.00 90.00 90.00
Space group Cmce (No. 64)
One atom of each set of equivalent atoms:
Ac1 0.000 0.198 0.113 [8 per cell]
Ho1 0.250 0.037 0.750 [8 per cell]
Fe1 0.000 0.084 0.461 [8 per cell]

Results
**Magnetic moment**: 8.9 Bohr magnetons per cell
**Crystal system**: orthorhombic
**Formation enthalpy at 0 K**: 0.0874 eV per atom
**Fermi-level density of states**: 32.51 states/eV per cell

(2)
The following is a GGA-PBE calculation of a geometry-optimized AcFeI structure, from Alexandria.

Lattice parameters (Å, degrees): 8.276 8.268 7.048 90.00 125.69 90.00
Space group C2/m (No. 12)
One atom of each set of equivalent atoms:
Ac1 0.250 0.250 0.000 [4 per cell]
Fe1 0.093 0.000 0.186 [4 per cell]
I1 0.176 0.500 0.354 [4 per cell]

Results
**Magnetic moment**: 5.9 Bohr magnetons per cell
**Crystal system**: monoclinic
**Fermi-level density of states**: 8.27 states/eV per cell
**Formation energy from raw total energies**: -0.4 eV/f.u.

(3)
The following is a GGA-PBE calculation of a geometry-optimized Ac3FeI3 structure, from Alexandria.

Lattice parameters (Å, degrees): 12.944 12.944 12.944 90.00 90.00 90.00
Space group I4_132 (No. 214)
One atom of each set of equivalent atoms:
Ac1 0.103 0.353 0.125 [24 per cell]
Fe1 0.125 0.125 0.125 [8 per cell]
I1 0.113 0.137 0.625 [24 per cell]

Results
**Magnetic moment**: 0.0 Bohr magnetons per cell
**Crystal system**: cubic
**Fermi-level density of states**: 54.22 states/eV per cell
**Formation energy from raw total energies**: -5.7 eV/f.u.

(4)
The following is a GGA-PBE calculation of a geometry-optimized Ac4FeI6 structure, from Alexandria.

Lattice parameters (Å, degrees): 10.9510 10.9510 8.5070 90.00 90.00 120.00
Space group P6_3mc (No. 186)
One atom of each set of equivalent atoms:
Ac1 0.2069 0.4138 0.0000 [6 per cell]
Ac2 0.3333 0.6667 0.5965 [2 per cell]
Fe1 0.3333 0.6667 0.9352 [2 per cell]
I1 0.0653 0.5326 0.3132 [6 per cell]
I2 0.1425 0.2849 0.6203 [6 per cell]

Results
**Magnetic moment**: 0.0 Bohr magnetons per cell
**Crystal system**: hexagonal
**Fermi-level density of states**: 1.87 states/eV per cell
**Formation energy from raw total energies**: -10.7 eV/f.u.

(5)
The following is a GGA-PBE calculation of a geometry-optimized Ac7FeI12 structure, from Alexandria.

Lattice parameters (Å, degrees): 16.7997 16.7997 12.1469 90.00 90.00 120.00
Space group R-3 (No. 148, hexagonal axes)
One atom of each set of equivalent atoms:
Ac1 0.0000 0.0000 0.0000 [3 per cell]
Ac2 0.0385 0.1586 0.3646 [18 per cell]
Fe1 0.0000 0.0000 0.5000 [3 per cell]
I1 0.0180 0.5860 0.1531 [18 per cell]
I2 0.0434 0.1715 0.8345 [18 per cell]

Results
**Magnetic moment**: 3.1 Bohr magnetons per cell
**Crystal system**: trigonal
**Fermi-level density of states**: 29.39 states/eV per cell
**Formation energy from raw total energies**: -24.8 eV/f.u.

(6)
The following is a GGA-PBE calculation of a geometry-optimized Ac5Fe2I2 structure, from Alexandria.

Lattice parameters (Å, degrees): 17.937 8.359 8.343 90.00 90.00 90.00
Space group Cmce (No. 64)
One atom of each set of equivalent atoms:
Ac1 0.000 0.000 0.000 [4 per cell]
Ac2 0.104 0.157 0.344 [16 per cell]
Fe1 0.000 0.140 0.641 [8 per cell]
I1 0.212 0.000 0.000 [8 per cell]

Results
**Magnetic moment**: 0.0 Bohr magnetons per cell
**Crystal system**: orthorhombic
**Fermi-level density of states**: 32.83 states/eV per cell
**Formation energy from raw total energies**: -2.3 eV/f.u.

(7)
The following is a GGA-PBE calculation of a geometry-optimized Ac6FeI12 structure, from Alexandria.

Lattice parameters (Å, degrees): 11.6011 11.6011 20.1538 90.00 90.00 120.00
Space group R-3m (No. 166, hexagonal axes)
One atom of each set of equivalent atoms:
Ac1 0.0741 0.5370 0.2543 [18 per cell]
Fe1 0.0000 0.0000 0.5000 [3 per cell]
I1 0.0419 0.5209 0.9014 [18 per cell]
I2 0.0849 0.5424 0.5931 [18 per cell]

Results
**Magnetic moment**: 0.1 Bohr magnetons per cell
**Crystal system**: trigonal
**Fermi-level density of states**: 31.87 states/eV per cell
**Formation energy from raw total energies**: -20.5 eV/f.u.

(8)
The following is a GGA-PBE calculation of a geometry-optimized Ac6FeNi2I3 structure, from Alexandria.

Lattice parameters (Å, degrees): 7.468 12.936 8.972 90.00 106.11 90.00
Space group C2/m (No. 12)
One atom of each set of equivalent atoms:
Ac1 0.223 0.162 0.183 [8 per cell]
Ac2 0.237 0.500 0.183 [4 per cell]
Fe1 0.000 0.000 0.000 [2 per cell]
Ni1 0.000 0.333 0.000 [4 per cell]
I1 0.000 0.166 0.500 [4 per cell]
I2 0.000 0.500 0.500 [2 per cell]

Results
**Magnetic moment**: 0.0 Bohr magnetons per cell
**Crystal system**: monoclinic
**Fermi-level density of states**: 10.60 states/eV per cell
**Formation energy from raw total energies**: -7.6 eV/f.u.